[1]
The following is a DFT calculation (PBE) of a relaxed CeHf2Be crystal. Values from VASP.

Offset from the most stable computed form, meV per atom: 0
E_form, meV per atom: 73.1
Density of states at the Fermi level, states/eV/f.u.: 5.78

Structure (Quantum ESPRESSO input):
```
&SYSTEM
  ibrav = 0, nat = 4, ntyp = 3
/
ATOMIC_SPECIES
Be 9.01 Be.upf
Hf 178.49 Hf.upf
Ce 140.12 Ce.upf
CELL_PARAMETERS angstrom
-2.907 0.549 -1.053
0.867 -0.921 -2.874
-2.107 -7.662 1.820
ATOMIC_POSITIONS crystal
Be 0.500 0.500 0.000
Hf 0.000 0.000 0.806
Hf 0.000 0.000 0.194
Ce 0.500 0.500 0.500
```


[2]
The following is a DFT calculation (PBE) of a relaxed LaHf2Be2 crystal. Values from VASP.

E_form, meV per atom: 208.0
Density of states at the Fermi level, states/eV/f.u.: 6.03

Structure (Quantum ESPRESSO input):
```
&SYSTEM
  ibrav = 0, nat = 10, ntyp = 3
/
ATOMIC_SPECIES
Be 9.01 Be.upf
Hf 178.49 Hf.upf
La 138.91 La.upf
CELL_PARAMETERS angstrom
-1.279 7.370 -1.029
-4.851 -1.617 -5.555
-2.452 -0.122 2.176
ATOMIC_POSITIONS crystal
Be 0.397 0.897 0.000
Be 0.897 0.603 0.000
Be 0.603 0.103 0.000
Be 0.103 0.397 0.000
Hf 0.178 0.678 0.500
Hf 0.678 0.822 0.500
Hf 0.822 0.322 0.500
Hf 0.322 0.178 0.500
La 0.000 0.000 0.000
La 0.500 0.500 0.000
```


[3]
The following is a DFT calculation (PBE) of a relaxed PaCoMo crystal. Values from VASP.

Offset from the most stable computed form, meV per atom: 66
E_form, meV per atom: 168.1
Density of states at the Fermi level, states/eV/f.u.: 4.23

Structure (Quantum ESPRESSO input):
```
&SYSTEM
  ibrav = 0, nat = 3, ntyp = 3
/
ATOMIC_SPECIES
Mo 95.94 Mo.upf
Pa 231.04 Pa.upf
Co 58.93 Co.upf
CELL_PARAMETERS angstrom
-0.685 0.567 4.116
-2.646 -2.905 -0.040
3.777 -0.793 0.738
ATOMIC_POSITIONS crystal
Mo 0.235 0.333 0.667
Pa 0.674 0.667 0.333
Co 0.091 0.000 0.000
```